Record 1
DFT (GGA-PBE) results for crystalline Dy5HoGa4 at its relaxed geometry.

The structure in POSCAR format:
```
Dy5HoGa4
1.0
8.5724 -1.8369 0.0000
8.5724 1.8369 0.0000
-0.7569 0.0000 8.6722
Dy Ho Ga
5 1 4
Direct
0.0000 0.0000 0.0000
0.3124 0.3124 0.1512
0.3500 0.3500 0.7168
0.6500 0.6500 0.2832
0.6876 0.6876 0.8488
0.0000 0.0000 0.5000
0.1854 0.1854 0.5608
0.4771 0.4771 0.2454
0.5229 0.5229 0.7546
0.8146 0.8146 0.4392
```

Output
Calculated total energy: -4.26 eV/atom
Magnetization: 0.000 μB/f.u.

***

Record 2
DFT (GGA-PBE) results for crystalline HfNbV at its relaxed geometry.

The structure in POSCAR format:
```
HfNbV
1.0
-2.7105 2.7316 3.6883
2.7105 -2.7316 3.6883
2.7105 2.7316 -3.6883
Hf Nb V
2 2 2
Direct
0.3707 0.1207 0.2500
0.6293 0.8793 0.7500
0.0000 0.5000 0.5000
0.5000 0.5000 0.0000
0.0000 0.0000 0.5000
0.0000 0.5000 0.0000
```

Output
Calculated total energy: -9.67 eV/atom
Magnetization: 0.036 μB/f.u.
Energy above the most stable polymorph in this dataset: 0.0000 eV/atom

***

no.,formation energy (eV/atom),D(E_F) (states/eV per atom),density (g cm⁻³)
1,-0.2884,0.90,7.6
2,0.0415,2.29,9.8